A geometry-optimized BaCo2SnSb structure, computed with PBE.

Structure (extended XYZ):
```
5
Lattice="-0.929 -4.811 0.310 2.494 -0.103 5.868 -4.422 0.976 1.897" Properties=species:S:1:pos:R:3 pbc="T T T"
Sb -1.428 -1.969 4.038
Co -2.211 0.488 0.948
Co -0.464 -2.405 0.155
Ba 1.247 -0.052 2.934
Sn 0.000 0.000 0.000
```

## Properties
The calculation puts the total magnetic moment at 3.2 μB/f.u. The total energy is -4.108 eV per atom. The space group is No. 123.